CuPAuO2: relaxed, PBE-GGA. Values from VASP.

Output
* energy: -3.765 eV/atom
* Fermi-level density of states: 4.3 states/eV/f.u.
* energy above the lowest structure with this stoichiometry: 0.420 eV per atom
* volume: 80.0 Å³/cell
* formation energy (no corrections): 0.775 eV/atom

Geometry as Quantum ESPRESSO input:
```
&SYSTEM
  ibrav = 0, nat = 5, ntyp = 4
/
ATOMIC_SPECIES
P 30.97 P.upf
Au 196.97 Au.upf
O 16.00 O.upf
Cu 63.55 Cu.upf
ATOMIC_POSITIONS angstrom
P 0.189 -2.020 1.674
Au 0.000 0.000 0.000
O -0.203 -1.248 -1.483
O -1.934 0.023 0.245
Cu -1.948 -3.246 0.436
CELL_PARAMETERS angstrom
-3.868 0.045 0.491
-0.406 -2.497 -2.967
0.377 -4.040 3.349
```


Pm2Pr9Ho: relaxed, PBE-GGA. Values from VASP.

Output
* energy: -4.744 eV/atom
* Fermi-level density of states: 20.6 states/eV/f.u.
* formation energy from the elements: 0.014 eV/atom
* volume: 425.1 Å³/cell

Geometry as Quantum ESPRESSO input:
```
&SYSTEM
  ibrav = 0, nat = 12, ntyp = 3
/
ATOMIC_SPECIES
Pm 145.00 Pm.upf
Pr 140.91 Pr.upf
Ho 164.93 Ho.upf
ATOMIC_POSITIONS angstrom
Pm 0.000 0.000 5.199
Pm 0.000 0.000 10.444
Pr 2.607 2.607 0.000
Pr 2.607 2.607 5.200
Pr 2.607 2.607 10.444
Pr 2.607 0.000 2.583
Pr 2.607 0.000 7.822
Pr 2.607 0.000 13.060
Pr 0.000 2.607 2.583
Pr 0.000 2.607 7.822
Pr 0.000 2.607 13.060
Ho 0.000 0.000 0.000
CELL_PARAMETERS angstrom
5.213 0.000 0.000
0.000 5.213 0.000
0.000 0.000 15.644
```


ScTi2Al2: relaxed, PBE-GGA. Values from VASP.

Output
* energy: -6.143 eV/atom
* Fermi-level density of states: 5.3 states/eV/f.u.
* formation energy from the elements: -0.222 eV/atom
* energy above the lowest structure with this stoichiometry: 0.067 eV per atom
* volume: 89.3 Å³/cell

Geometry as Quantum ESPRESSO input:
```
&SYSTEM
  ibrav = 0, nat = 5, ntyp = 3
/
ATOMIC_SPECIES
Sc 44.96 Sc.upf
Ti 47.87 Ti.upf
Al 26.98 Al.upf
ATOMIC_POSITIONS angstrom
Sc 0.000 0.000 0.000
Ti 0.000 0.200 6.727
Ti 0.000 2.076 4.614
Al 1.437 1.013 2.439
Al 1.437 1.263 8.903
CELL_PARAMETERS angstrom
2.875 0.000 0.000
0.000 2.848 0.540
0.000 -0.572 10.802
```


ZnFeRh: relaxed, PBE-GGA. Values from VASP.

Output
* energy: -5.470 eV/atom
* Fermi-level density of states: 4.3 states/eV/f.u.
* formation energy from the elements: 0.226 eV/atom
* energy above the lowest structure with this stoichiometry: 0.370 eV per atom
* volume: 49.1 Å³/cell

Geometry as Quantum ESPRESSO input:
```
&SYSTEM
  ibrav = 0, nat = 3, ntyp = 3
/
ATOMIC_SPECIES
Fe 55.84 Fe.upf
Rh 102.91 Rh.upf
Zn 65.41 Zn.upf
ATOMIC_POSITIONS angstrom
Fe 4.111 2.373 1.678
Rh 6.166 3.560 2.517
Zn 0.000 0.000 0.000
CELL_PARAMETERS angstrom
4.111 0.000 0.000
2.055 3.560 0.000
2.055 1.187 3.356
```


CaSm5Er4: relaxed, PBE-GGA. Values from VASP.

Output
* energy: -4.352 eV/atom
* Fermi-level density of states: 14.2 states/eV/f.u.
* formation energy from the elements: 0.033 eV/atom
* volume: 330.0 Å³/cell

Geometry as Quantum ESPRESSO input:
```
&SYSTEM
  ibrav = 0, nat = 10, ntyp = 3
/
ATOMIC_SPECIES
Ca 40.08 Ca.upf
Sm 150.36 Sm.upf
Er 167.26 Er.upf
ATOMIC_POSITIONS angstrom
Ca 0.000 0.000 0.000
Sm 1.797 1.797 2.818
Sm 1.797 1.797 7.782
Sm 1.797 1.797 12.771
Sm 1.797 1.797 17.760
Sm 1.797 1.797 22.724
Er 0.000 0.000 5.246
Er 0.000 0.000 10.268
Er 0.000 0.000 15.274
Er 0.000 0.000 20.296
CELL_PARAMETERS angstrom
3.594 0.000 0.000
0.000 3.594 0.000
0.000 0.000 25.542
```


DySc3: relaxed, PBE-GGA. Values from VASP.

Output
* energy: -5.843 eV/atom
* Fermi-level density of states: 7.2 states/eV/f.u.
* formation energy from the elements: 0.056 eV/atom
* energy above the lowest structure with this stoichiometry: 0.034 eV per atom
* volume: 104.5 Å³/cell

Geometry as Quantum ESPRESSO input:
```
&SYSTEM
  ibrav = 0, nat = 4, ntyp = 2
/
ATOMIC_SPECIES
Sc 44.96 Sc.upf
Dy 162.50 Dy.upf
ATOMIC_POSITIONS angstrom
Sc 2.365 0.000 2.335
Sc 0.000 2.365 2.335
Sc 2.365 2.365 0.000
Dy 0.000 0.000 0.000
CELL_PARAMETERS angstrom
4.729 0.000 0.000
0.000 4.729 0.000
-2.365 -2.365 4.670
```